Record 1
Below is Sm2Co5Ge4 after structural relaxation, with properties calculated at the PBE-GGA level.

Lattice parameters (Å, degrees): 8.3529 7.4204 5.4280 79.45 60.85 39.71
Fractional coordinates of all 11 atoms:
Sm1 0.1315 0.1315 0.8685
Sm2 0.8685 0.8685 0.1315
Co1 0.0000 0.0000 0.5000
Co2 0.2500 0.2500 0.2500
Co3 0.5000 0.5000 0.0000
Co4 0.5000 0.5000 0.5000
Co5 0.7500 0.7500 0.7500
Ge1 0.2128 0.5269 0.4731
Ge2 0.4731 0.7872 0.2128
Ge3 0.5269 0.2128 0.7872
Ge4 0.7872 0.4731 0.5269

Its magnetic moment is 0.0 μB/cell. As for the energy of formation: -464 meV/atom. The space group is Fmmm (69).

=====

Record 2
Below is Sm5Bi4P after structural relaxation, with properties calculated at the PBE-GGA level.

Lattice parameters (Å, degrees): 16.1039 16.1039 16.1039 164.00 164.00 22.70
Fractional coordinates of all 10 atoms:
Sm1 0.0000 0.0000 0.0000
Sm2 0.2008 0.2008 0.0000
Sm3 0.4092 0.4092 0.0000
Sm4 0.5908 0.5908 0.0000
Sm5 0.7992 0.7992 0.0000
Bi1 0.0993 0.0993 0.0000
Bi2 0.3035 0.3035 0.0000
Bi3 0.6965 0.6965 0.0000
Bi4 0.9007 0.9007 0.0000
P1 0.5000 0.5000 0.0000

Its magnetic moment is 0.0 μB/cell. As for the energy of formation: -1002 meV/atom. The energy above the most stable polymorph in this dataset comes out at 0.085 eV/f.u. The space group is I4/mmm (139).

=====

Record 3
Below is In2AgAu2 after structural relaxation, with properties calculated at the PBE-GGA level.

Lattice parameters (Å, degrees): 7.4823 7.4823 3.8297 90.00 90.00 90.00
Fractional coordinates of all 10 atoms:
In1 0.1658 0.3342 0.0000
In2 0.3342 0.8342 0.0000
In3 0.6658 0.1658 0.0000
In4 0.8342 0.6658 0.0000
Ag1 0.0000 0.0000 0.5000
Ag2 0.5000 0.5000 0.5000
Au1 0.1382 0.6382 0.5000
Au2 0.3618 0.1382 0.5000
Au3 0.6382 0.8618 0.5000
Au4 0.8618 0.3618 0.5000

Its magnetic moment is 0.0 μB/cell. As for the energy of formation: -95 meV/atom. The energy above the most stable polymorph in this dataset comes out at 0.289 eV/f.u. The space group is P4/mbm (127).

=====

Record 4
Below is AcPr2SmS4 after structural relaxation, with properties calculated at the PBE-GGA level.

Lattice parameters (Å, degrees): 7.1540 4.1035 7.2145 90.00 109.13 90.00
Fractional coordinates of all 8 atoms:
Ac1 0.0000 0.0000 0.0000
Pr1 0.5000 0.0000 0.5000
Pr2 0.5000 0.5000 0.0000
Sm1 0.0000 0.5000 0.5000
S1 0.2471 0.0000 0.7397
S2 0.2545 0.5000 0.2613
S3 0.7455 0.5000 0.7387
S4 0.7529 0.0000 0.2603

For the total energy, the calculation gives -6.3637 eV/atom. Its magnetic moment is 0.0 μB/cell. The space group is P2/m (10).

=====

Record 5
Below is GaAsOsBr2 after structural relaxation, with properties calculated at the PBE-GGA level.

Lattice parameters (Å, degrees): 4.9877 4.9877 5.2072 90.00 90.00 90.00
Fractional coordinates of all 5 atoms:
Ga1 0.0000 0.0000 0.0000
As1 0.0000 0.0000 0.5000
Os1 0.5000 0.5000 0.5000
Br1 0.0000 0.5000 0.0000
Br2 0.5000 0.0000 0.0000

Its magnetic moment is 3.7 μB/cell. The energy above the most stable polymorph in this dataset comes out at 4.636 eV/f.u. The space group is P4/mmm (123).

=====

Record 6
Below is CoSnPb3 after structural relaxation, with properties calculated at the PBE-GGA level.

Lattice parameters (Å, degrees): 5.1460 5.1460 5.1460 90.00 90.00 90.00
Fractional coordinates of all 5 atoms:
Co1 0.0000 0.0000 0.0000
Sn1 0.5000 0.5000 0.5000
Pb1 0.0000 0.0000 0.5000
Pb2 0.0000 0.5000 0.0000
Pb3 0.5000 0.0000 0.0000

Its magnetic moment is 0.0 μB/cell. As for the energy of formation: 239 meV/atom. The energy above the most stable polymorph in this dataset comes out at 0.000 eV/f.u. The space group is Pm-3m (221).

=====

Record 7
Below is RbHf2Se after structural relaxation, with properties calculated at the PBE-GGA level.

Lattice parameters (Å, degrees): 10.4426 10.4426 10.4426 150.71 150.71 41.90
Fractional coordinates of all 8 atoms:
Rb1 0.0000 0.0000 0.0000
Rb2 0.7500 0.2500 0.5000
Hf1 0.3483 0.6250 0.2233
Hf2 0.3750 0.5983 0.7233
Hf3 0.4017 0.1250 0.7767
Hf4 0.8750 0.6517 0.2767
Se1 0.2500 0.7500 0.5000
Se2 0.5000 0.5000 0.0000

For the total energy, the calculation gives -5.5856 eV/atom. Its magnetic moment is 0.0 μB/cell. The space group is I-42d (122).

=====

Record 8
Below is ZrWIN2 after structural relaxation, with properties calculated at the PBE-GGA level.

Lattice parameters (Å, degrees): 4.2035 4.2035 6.0278 90.00 90.00 90.00
Fractional coordinates of all 5 atoms:
Zr1 0.0000 0.0000 0.0000
W1 0.5000 0.5000 0.5000
I1 0.0000 0.0000 0.5000
N1 0.0000 0.5000 0.0000
N2 0.5000 0.0000 0.0000

Its magnetic moment is 3.8 μB/cell. The energy above the most stable polymorph in this dataset comes out at 3.346 eV/f.u. The space group is P4/mmm (123).

=====

Record 9
Below is Tb2PaTl3Te6 after structural relaxation, with properties calculated at the PBE-GGA level.

Lattice parameters (Å, degrees): 7.6631 7.6631 8.6840 98.46 98.46 119.99
Fractional coordinates of all 12 atoms:
Tb1 0.1666 0.8334 0.0000
Tb2 0.8334 0.1666 0.0000
Pa1 0.5000 0.5000 0.0000
Tl1 0.0000 0.0000 0.5000
Tl2 0.3331 0.6669 0.5000
Tl3 0.6669 0.3331 0.5000
Te1 0.0951 0.4281 0.7840
Te2 0.2393 0.2393 0.2163
Te3 0.4281 0.0951 0.7840
Te4 0.5719 0.9049 0.2160
Te5 0.7607 0.7607 0.7837
Te6 0.9049 0.5719 0.2160

For the total energy, the calculation gives -4.6110 eV/atom. Its magnetic moment is 2.0 μB/cell. The space group is C2/m (12).

=====

Record 10
Below is NaMo2P2 after structural relaxation, with properties calculated at the PBE-GGA level.

Lattice parameters (Å, degrees): 5.3534 5.3534 5.3534 128.90 128.90 75.17
Fractional coordinates of all 5 atoms:
Na1 0.0000 0.0000 0.0000
Mo1 0.3668 0.3668 0.0000
Mo2 0.6332 0.6332 0.0000
P1 0.2500 0.7500 0.5000
P2 0.7500 0.2500 0.5000

Its magnetic moment is 0.0 μB/cell. As for the energy of formation: -60 meV/atom. The space group is I4/mmm (139).

=====

Record 11
Below is Cd2AgHPb after structural relaxation, with properties calculated at the PBE-GGA level.

Lattice parameters (Å, degrees): 5.3250 5.3250 3.6496 90.00 90.00 90.00
Fractional coordinates of all 5 atoms:
Cd1 0.0000 0.5000 0.0000
Cd2 0.5000 0.0000 0.0000
Ag1 0.0000 0.0000 0.5000
H1 0.0000 0.0000 0.0000
Pb1 0.5000 0.5000 0.5000

For the total energy, the calculation gives -2.1325 eV/atom. Its magnetic moment is 0.0 μB/cell. The space group is P4/mmm (123).

=====

Record 12
Below is K2Rb3Na8 after structural relaxation, with properties calculated at the PBE-GGA level.

Lattice parameters (Å, degrees): 15.9371 15.9371 15.9371 26.59 26.59 26.59
Fractional coordinates of all 13 atoms:
K1 0.1417 0.1417 0.1417
K2 0.8583 0.8583 0.8583
Rb1 0.3165 0.3165 0.3165
Rb2 0.5000 0.5000 0.5000
Rb3 0.6835 0.6835 0.6835
Na1 0.2282 0.2282 0.2282
Na2 0.2404 0.2404 0.7310
Na3 0.2404 0.7310 0.2404
Na4 0.2690 0.7596 0.7596
Na5 0.7310 0.2404 0.2404
Na6 0.7596 0.2690 0.7596
Na7 0.7596 0.7596 0.2690
Na8 0.7718 0.7718 0.7718

Its magnetic moment is 0.0 μB/cell. As for the energy of formation: 46 meV/atom. The space group is R-3m (166).

=====

Record 13
Below is Ac3La2Pr3 after structural relaxation, with properties calculated at the PBE-GGA level.

Lattice parameters (Å, degrees): 11.4931 11.4931 11.4931 153.01 152.61 38.83
Fractional coordinates of all 8 atoms:
Ac1 0.0000 0.0000 0.0000
Ac2 0.3739 0.8739 0.5000
Ac3 0.6261 0.1261 0.5000
La1 0.2491 0.2491 0.0000
La2 0.7509 0.7509 0.0000
Pr1 0.1274 0.6274 0.5000
Pr2 0.5000 0.5000 0.0000
Pr3 0.8726 0.3726 0.5000

Its magnetic moment is 0.0 μB/cell. As for the energy of formation: 21 meV/atom. The energy above the most stable polymorph in this dataset comes out at 0.033 eV/f.u. The space group is Immm (71).

=====

Record 14
Below is KHg2Os after structural relaxation, with properties calculated at the PBE-GGA level.

Lattice parameters (Å, degrees): 5.1088 5.1088 5.1088 60.00 60.00 60.00
Fractional coordinates of all 4 atoms:
K1 0.0000 0.0000 0.0000
Hg1 0.5000 0.5000 0.5000
Hg2 0.7500 0.7500 0.7500
Os1 0.2500 0.2500 0.2500

Its magnetic moment is 2.0 μB/cell. As for the energy of formation: 1193 meV/atom. The energy above the most stable polymorph in this dataset comes out at 2.446 eV/f.u. The space group is F-43m (216).

=====

Record 15
Below is UFe2GeC after structural relaxation, with properties calculated at the PBE-GGA level.

Lattice parameters (Å, degrees): 5.7521 5.7521 6.6629 90.00 90.00 141.94
Fractional coordinates of all 10 atoms:
U1 0.0592 0.9408 0.7500
U2 0.9408 0.0592 0.2500
Fe1 0.3396 0.6604 0.5517
Fe2 0.3396 0.6604 0.9483
Fe3 0.6604 0.3396 0.0517
Fe4 0.6604 0.3396 0.4483
Ge1 0.2214 0.7786 0.2500
Ge2 0.7786 0.2214 0.7500
C1 0.5000 0.5000 0.0000
C2 0.5000 0.5000 0.5000

Its magnetic moment is 2.0 μB/cell. As for the energy of formation: -227 meV/atom. The space group is Cmcm (63).

=====

Record 16
Below is TiZn5Ni4 after structural relaxation, with properties calculated at the PBE-GGA level.

Lattice parameters (Å, degrees): 2.9158 2.9158 15.0544 90.00 90.00 90.00
Fractional coordinates of all 10 atoms:
Ti1 0.0000 0.0000 0.0000
Zn1 0.5000 0.5000 0.1221
Zn2 0.5000 0.5000 0.3105
Zn3 0.5000 0.5000 0.5000
Zn4 0.5000 0.5000 0.6895
Zn5 0.5000 0.5000 0.8779
Ni1 0.0000 0.0000 0.2168
Ni2 0.0000 0.0000 0.4053
Ni3 0.0000 0.0000 0.5947
Ni4 0.0000 0.0000 0.7832

Its magnetic moment is 0.3 μB/cell. As for the energy of formation: -219 meV/atom. The space group is P4/mmm (123).

=====

Record 17
Below is Tm2PuSn after structural relaxation, with properties calculated at the PBE-GGA level.

Lattice parameters (Å, degrees): 10.9229 10.9229 10.9229 18.18 18.18 18.18
Fractional coordinates of all 4 atoms:
Tm1 0.2469 0.2469 0.2469
Tm2 0.7531 0.7531 0.7531
Pu1 0.0000 0.0000 0.0000
Sn1 0.5000 0.5000 0.5000

Its magnetic moment is 6.0 μB/cell. As for the energy of formation: -153 meV/atom. The energy above the most stable polymorph in this dataset comes out at 0.609 eV/f.u. The space group is R-3m (166).